Computed, not measured: an optimized crystal structure of SrNi3Ir at the GGA-PBE level of DFT.

Output
For the formation energy, the calculation gives 0.46 eV per atom. Its density of states at the Fermi level is 6.56 states/eV/f.u. As for the space-group type: No. 221.

Lattice parameters (Å, degrees): 4.665 4.665 4.665 90.00 90.00 90.00
Each line ends with the local moment (μB).
Sites, in units of the cell vectors:
Ni: 0.000 0.000 0.500  1.04
Ni: 0.500 0.000 0.000  0.46
Ni: 0.000 0.500 0.000  0.75
Ir: 0.000 0.000 0.000  0.71
Sr: 0.500 0.500 0.500  -0.02


Computed, not measured: an optimized crystal structure of YNb2Mo at the GGA-PBE level of DFT.

Output
For the formation energy, the calculation gives 0.32 eV per atom. Its density of states at the Fermi level is 5.08 states/eV/f.u. As for the space-group type: No. 225.

Lattice parameters (Å, degrees): 4.785 4.785 4.785 60.00 60.00 60.00
Sites, in units of the cell vectors:
Nb: 0.750 0.750 0.750
Nb: 0.250 0.250 0.250
Y: 0.000 0.000 0.000
Mo: 0.500 0.500 0.500


Computed, not measured: an optimized crystal structure of CdRe2W at the GGA-PBE level of DFT.

Output
For the formation energy, the calculation gives 0.49 eV per atom. Its density of states at the Fermi level is 2.66 states/eV/f.u. As for the space-group type: No. 47.

Lattice parameters (Å, degrees): 2.859 4.045 5.826 90.00 90.00 90.00
Sites, in units of the cell vectors:
Re: 0.000 0.000 0.461
Re: 0.000 0.000 0.039
W: 0.500 0.500 0.250
Cd: 0.500 0.500 0.750


Computed, not measured: an optimized crystal structure of LiSb2Pt at the GGA-PBE level of DFT.

Output
Its density of states at the Fermi level is 0.76 states/eV/f.u. As for the space-group type: No. 166. For the formation energy (no corrections), the calculation gives -1.603 eV per formula unit.

Lattice parameters (Å, degrees): 7.083 7.083 7.083 33.33 33.33 33.33
Sites, in units of the cell vectors:
Sb: 0.484 0.484 0.484
Sb: 0.016 0.016 0.016
Li: 0.250 0.250 0.250
Pt: 0.750 0.750 0.750